Compound: NaNbIn2F6
Source: OQMD via LeMat-Bulk
Functional: GGA-PBE
Structure: optimized geometry

a b c (Å): 5.9116 5.9116 5.9116
angles (deg): 60.00 60.00 60.00
Last column: magnetic moment on the atom in μB.
Positions (direct):
In1 0.2500 0.2500 0.2500  0.01
F1 0.7471 0.7471 0.2529  0.01
F2 0.2529 0.2529 0.7471  0.01
Na1 0.0000 0.0000 0.0000  0.00
Nb1 0.5000 0.5000 0.5000  1.64
F3 0.7471 0.2529 0.2529  0.02
F4 0.2529 0.7471 0.7471  0.02
F5 0.7471 0.2529 0.7471  0.03
F6 0.2529 0.7471 0.2529  0.03
In2 0.7500 0.7500 0.7500  0.01

Properties
VASP energy = -4.988 eV per atom
Theoretical density = 5.223 g cm⁻³